{
  "formula": "ScReIr4",
  "functional": "PBE",
  "state": "optimized geometry",
  "ef_mev_per_atom": 13,
  "energy_ev_per_cell": -54.1,
  "spacegroup": "No. 216",
  "total_magnetization_mub_per_fu": 0.00,
  "cell": [[0.000, 3.647, 3.647], [3.647, 0.000, 3.647], [3.647, 3.647, 0.000]],
  "species": ["Sc", "Re", "Ir", "Ir", "Ir", "Ir"],
  "frac_coords": [[0.000, 0.000, 0.000], [0.250, 0.250, 0.250], [0.625, 0.625, 0.125], [0.625, 0.125, 0.625], [0.625, 0.625, 0.625], [0.125, 0.625, 0.625]]
}